20
Lattice="-5.760 5.760 5.760 5.760 -5.760 5.760 5.760 5.760 -5.760" Properties=species:S:1:pos:R:3 comment="PBE CaSm12Dy7, optimized geometry" vol_a3_per_cell=764.55 e_form_ev_per_atom=0.643 pbc="T T T"
Ca 0.000 0.000 0.000
Sm 5.760 2.797 -2.786
Sm 2.974 0.000 2.963
Sm 8.546 0.000 2.963
Sm 2.963 2.974 0.000
Sm 2.797 -2.786 5.760
Sm 5.760 2.797 2.786
Sm 0.000 2.963 2.974
Sm 2.963 8.546 0.000
Sm 2.797 2.786 5.760
Sm -2.786 5.760 2.797
Sm 2.786 5.760 2.797
Sm 0.000 2.963 8.546
Dy 2.880 2.880 -2.880
Dy 2.880 -2.880 2.880
Dy 5.760 0.000 0.000
Dy -2.880 2.880 2.880
Dy 0.000 5.760 0.000
Dy 0.000 0.000 5.760
Dy 2.880 2.880 2.880

=====

18
Lattice="6.686 0.000 0.000 -1.037 9.028 0.000 -1.896 -3.125 9.960" Properties=species:S:1:pos:R:3 comment="PBE CaSm4Dy4, optimized geometry" vol_a3_per_cell=601.22 e_form_ev_per_atom=0.064 pbc="T T T"
Ca -0.743 1.529 2.571
Ca 4.496 4.374 7.389
Sm -0.665 1.323 6.080
Sm -0.273 7.407 3.973
Sm 0.737 -1.678 7.420
Sm 0.225 2.912 9.450
Sm 3.527 2.991 0.511
Sm 3.016 7.581 2.541
Sm 4.026 -1.504 5.988
Sm 4.418 4.580 3.881
Dy -1.683 -0.092 9.274
Dy 1.696 0.044 0.653
Dy 1.172 4.451 2.481
Dy 1.152 4.398 5.873
Dy 2.600 1.505 4.087
Dy 2.581 1.452 7.479
Dy 2.057 5.859 9.307
Dy 5.436 5.995 0.686

=====

26
Lattice="12.090 0.000 0.000 0.000 20.521 0.000 0.000 0.000 3.563" Properties=species:S:1:pos:R:3 comment="PBE Ca2Sm5Dy6, optimized geometry" vol_a3_per_cell=884.00 e_form_ev_per_atom=0.138 pbc="T T T"
Ca 1.884 4.449 0.000
Ca 4.162 14.709 0.000
Ca 7.929 5.812 0.000
Ca 10.207 16.073 0.000
Sm 0.000 10.261 1.781
Sm 1.287 16.084 1.781
Sm 2.480 1.037 1.781
Sm 3.565 11.297 1.781
Sm 4.759 5.824 1.781
Sm 6.045 0.000 1.781
Sm 7.332 14.698 1.781
Sm 8.525 9.224 1.781
Sm 9.611 19.484 1.781
Sm 10.804 4.437 1.781
Dy 0.673 18.970 0.000
Dy 0.868 13.117 0.000
Dy 2.211 7.851 1.781
Dy 3.834 18.112 1.781
Dy 5.178 2.857 0.000
Dy 5.372 8.709 0.000
Dy 6.718 11.812 0.000
Dy 6.913 17.665 0.000
Dy 8.256 2.409 1.781
Dy 9.879 12.670 1.781
Dy 11.223 7.404 0.000
Dy 11.417 1.551 0.000

=====

11
Lattice="9.256 -2.567 0.000 9.256 2.567 0.000 -2.124 0.000 7.838" Properties=species:S:1:pos:R:3 comment="PBE CaSm8Dy2, optimized geometry" vol_a3_per_cell=372.38 e_form_ev_per_atom=0.036 pbc="T T T"
Ca 0.000 0.000 0.000
Sm 0.736 0.000 3.616
Sm 1.482 0.000 7.130
Sm 4.933 0.000 6.346
Sm 7.788 0.000 2.201
Sm 8.599 0.000 5.637
Sm 11.455 0.000 1.492
Sm 14.905 0.000 0.707
Sm 15.651 0.000 4.221
Dy 4.278 0.000 2.846
Dy 12.110 0.000 4.992